[1]
Density functional theory data (GGA-PBE) for crystalline BaScPd3 at its relaxed geometry.

Unit cell a=5.0385 b=5.0385 c=5.0385 alpha=90.00 beta=90.00 gamma=90.00
Sites, in units of the cell vectors:
Sc 0.0000 0.0000 0.0000
Ba 0.5000 0.5000 0.5000
Pd 0.0000 0.5000 0.0000
Pd 0.0000 0.0000 0.5000
Pd 0.5000 0.0000 0.0000

Values from the calculation:
The size of the total moment comes out at 0.0 Bohr magnetons per cell. The energy of formation comes out at -278 meV per atom. Its crystal system is cubic. Its density is 6.51 g/cm3. The space group is Pm-3m.

---

[2]
Density functional theory data (GGA-PBE) for crystalline BaSc2Pd at its relaxed geometry.

Unit cell a=5.1194 b=5.1194 c=5.1194 alpha=60.00 beta=60.00 gamma=60.00
Sites, in units of the cell vectors:
Sc 0.2500 0.2500 0.2500
Sc 0.7500 0.7500 0.7500
Ba 0.5000 0.5000 0.5000
Pd 0.0000 0.0000 0.0000

Values from the calculation:
The size of the total moment comes out at 0.0 Bohr magnetons per cell. The energy of formation comes out at 85 meV per atom. Its crystal system is cubic. Its density is 5.84 g/cm3. The space group is Fm-3m.